(1)
The following is a PBE calculation of a relaxed structure of InNiPt4, from Alexandria via LeMat-Bulk.

abc: 5.2754 5.2754 5.2754
angles: 60.00 60.00 60.00
Closest atoms and distances in Å follow each position.
Positions (direct):
In (0.0000, 0.0000, 0.0000)  12 Pt 3.09, 4 Ni 3.23
Ni (0.7500, 0.7500, 0.7500)  12 Pt 3.09, 4 In 3.23
Pt (0.3753, 0.3753, 0.3753)  6 Pt 2.63-2.65
Pt (0.3753, 0.3753, 0.8740)  6 Pt 2.63-2.65
Pt (0.3753, 0.8740, 0.3753)  6 Pt 2.63-2.65
Pt (0.8740, 0.3753, 0.3753)  6 Pt 2.63-2.65

Results
Space-group type   F-43m (216)
N(E_F)   5.75 states/eV/cell
DFT total energy   -5.369 eV per atom
Total magnetization   0.0 Bohr magnetons per cell

=====

(2)
The following is a PBE calculation of a relaxed structure of Cd3In3Sn, from Alexandria via LeMat-Bulk.

abc: 7.9951 7.9951 7.9951
angles: 90.00 90.00 90.00
Closest atoms and distances in Å follow each position.
Positions (direct):
Cd (0.0000, 0.2500, 0.5000)  4 In 2.83
Cd (0.0000, 0.7500, 0.5000)  4 In 2.83
Cd (0.2500, 0.5000, 0.0000)  4 In 2.83
Cd (0.5000, 0.0000, 0.2500)  4 In 2.83
Cd (0.5000, 0.0000, 0.7500)  4 In 2.83
Cd (0.7500, 0.5000, 0.0000)  4 In 2.83
In (0.0000, 0.5000, 0.2500)  4 Cd 2.83
In (0.0000, 0.5000, 0.7500)  4 Cd 2.83
In (0.2500, 0.0000, 0.5000)  4 Cd 2.83
In (0.5000, 0.2500, 0.0000)  4 Cd 2.83
In (0.5000, 0.7500, 0.0000)  4 Cd 2.83
In (0.7500, 0.0000, 0.5000)  4 Cd 2.83
Sn (0.0000, 0.0000, 0.0000)  12 Cd 4.47, 12 In 4.47
Sn (0.5000, 0.5000, 0.5000)  12 Cd 4.47, 12 In 4.47

Results
Space-group type   Pm-3n (223)
N(E_F)   9.23 states/eV/cell
DFT total energy   -1.646 eV per atom
Total magnetization   0.0 Bohr magnetons per cell